(1)
Compound: BaH2N2
Source: Alexandria
Functional: GGA-PBE
Structure: relaxed

CIF file:
```
data_BaH2N2
_chemical_formula_sum 'Ba2 H4 N4'
_cell_length_a 4.808
_cell_length_b 4.808
_cell_length_c 6.777
_cell_angle_alpha 90.00
_cell_angle_beta 90.00
_cell_angle_gamma 90.00
_space_group_name_H-M_alt 'I 4/m m m'
_space_group_IT_number 139
_space_group_name_Hall '-I 4 2'
loop_
_atom_site_label
_atom_site_fract_x
_atom_site_fract_y
_atom_site_fract_z
Ba1 0.000 0.000 0.000
H1 0.000 0.500 0.250
N1 0.000 0.000 0.417
```

Calculated values
Energy relative to the lowest polymorph listed for this composition ... 0 meV/atom
E ... -26.123 eV per formula unit

=====

(2)
Compound: BaH6N4
Source: Alexandria
Functional: GGA-PBE
Structure: relaxed

CIF file:
```
data_BaH6N4
_chemical_formula_sum 'Ba2 H12 N8'
_cell_length_a 5.910
_cell_length_b 5.910
_cell_length_c 6.655
_cell_angle_alpha 90.00
_cell_angle_beta 90.00
_cell_angle_gamma 90.00
_space_group_name_H-M_alt 'I -4 2 m'
_space_group_IT_number 121
_space_group_name_Hall 'I -4 2'
loop_
_atom_site_label
_atom_site_fract_x
_atom_site_fract_y
_atom_site_fract_z
Ba1 0.000 0.000 0.000
H1 0.000 0.500 0.000
H2 0.212 0.212 0.712
N1 0.210 0.210 0.337
```

Calculated values
E ... -43.969 eV per formula unit

=====

(3)
Compound: BaH3N
Source: Alexandria
Functional: GGA-PBE
Structure: relaxed

CIF file:
```
data_BaH3N
_chemical_formula_sum 'Ba1 H3 N1'
_cell_length_a 3.745
_cell_length_b 3.745
_cell_length_c 3.745
_cell_angle_alpha 90.00
_cell_angle_beta 90.00
_cell_angle_gamma 90.00
_space_group_name_H-M_alt 'P m -3 m'
_space_group_IT_number 221
_space_group_name_Hall '-P 4 2 3'
loop_
_atom_site_label
_atom_site_fract_x
_atom_site_fract_y
_atom_site_fract_z
Ba1 0.000 0.000 0.000
H1 0.000 0.500 0.500
N1 0.500 0.500 0.500
```

Calculated values
Energy relative to the lowest polymorph listed for this composition ... 764 meV/atom
E ... -17.344 eV per formula unit